[1]
Entry from Alexandria: BC after structural relaxation (GGA-PBE).

Calculated values
VASP energy = -7.65 eV/atom
volume = 8.3 Å³ per atom
symmetry = No. 164

Cell: 2.6168 2.6168 16.8710 Å, 90.00 90.00 120.00°
Fractional positions:
C (0.6667, 0.3333, 0.2596)
C (0.3333, 0.6667, 0.6428)
B (0.3333, 0.6667, 0.2496)
B (0.0000, 0.0000, 0.7920)
C (0.6667, 0.3333, 0.7820)
B (0.6667, 0.3333, 0.3591)
B (0.3333, 0.6667, 0.5525)
B (0.0000, 0.0000, 0.4892)
B (0.6667, 0.3333, 0.6825)
C (0.0000, 0.0000, 0.0208)
C (0.0000, 0.0000, 0.3989)
C (0.3333, 0.6667, 0.0208)


[2]
Entry from Alexandria: B3C after structural relaxation (GGA-PBE).

Calculated values
VASP energy = -6.93 eV/atom
volume = 7.0 Å³ per atom
symmetry = No. 8

Cell: 5.4940 5.4940 5.8078 Å, 83.04 83.04 29.10°
Fractional positions:
B (0.6615, 0.6615, 0.6746)
B (0.9783, 0.9783, 0.1236)
C (0.7553, 0.7553, 0.8646)
B (0.9591, 0.9591, 0.4333)
C (0.3408, 0.3408, 0.8504)
B (0.4361, 0.4361, 0.6071)
B (0.3690, 0.3690, 0.3341)
B (0.0911, 0.0911, 0.5661)
B (0.6705, 0.6705, 0.1050)
B (0.7020, 0.7020, 0.3788)
C (0.4201, 0.4201, 0.0511)
B (0.1161, 0.1161, 0.2615)


[3]
Entry from Alexandria: B9C after structural relaxation (GGA-PBE).

Calculated values
VASP energy = -6.51 eV/atom
volume = 6.9 Å³ per atom
symmetry = No. 119

Cell: 12.9537 12.9537 12.9537 Å, 169.76 169.76 14.49°
Fractional positions:
B (0.5924, 0.5924, 0.0000)
B (0.2482, 0.7482, 0.5000)
B (0.4554, 0.9554, 0.5000)
B (0.8000, 0.8000, 0.0000)
B (0.1960, 0.1960, 0.0000)
B (0.8518, 0.3518, 0.5000)
B (0.6446, 0.1446, 0.5000)
B (0.0076, 0.0076, 0.0000)
C (0.0500, 0.5500, 0.5000)
B (0.4040, 0.4040, 0.0000)


[4]
Entry from Alexandria: B3C after structural relaxation (GGA-PBE).

Calculated values
VASP energy = -6.85 eV/atom
volume = 6.9 Å³ per atom
symmetry = No. 115

Cell: 2.4045 2.4045 9.6015 Å, 90.00 90.00 90.00°
Fractional positions:
C (0.5000, 0.0000, 0.1129)
B (0.5000, 0.5000, 0.0000)
C (0.0000, 0.5000, 0.8871)
B (0.0000, 0.5000, 0.3632)
B (0.5000, 0.0000, 0.6368)
B (0.0000, 0.0000, 0.2220)
B (0.5000, 0.5000, 0.5000)
B (0.0000, 0.0000, 0.7780)


[5]
Entry from Alexandria: B7C5 after structural relaxation (GGA-PBE).

Calculated values
VASP energy = -7.33 eV/atom
volume = 6.6 Å³ per atom
symmetry = No. 6

Cell: 2.5800 4.9310 6.5207 Å, 106.01 90.00 90.00°
Fractional positions:
B (0.0000, 0.9695, 0.3116)
C (0.0000, 0.7026, 0.8965)
C (0.0000, 0.6728, 0.6556)
B (0.5000, 0.5703, 0.9584)
B (0.0000, 0.0196, 0.0390)
B (0.0000, 0.2868, 0.2911)
C (0.5000, 0.8176, 0.5891)
B (0.0000, 0.3008, 0.5731)
C (0.5000, 0.8011, 0.3481)
B (0.5000, 0.4814, 0.2089)
C (0.5000, 0.1628, 0.6854)
B (0.5000, 0.2147, 0.9430)


[6]
Entry from Alexandria: B3C2 after structural relaxation (GGA-PBE).

Calculated values
VASP energy = -7.28 eV/atom
volume = 6.6 Å³ per atom
symmetry = No. 1

Cell: 3.4312 4.5309 4.9548 Å, 73.30 109.86 110.93°
Fractional positions:
C (0.9325, 0.2527, 0.1012)
B (0.8163, 0.5587, 0.4819)
B (0.6012, 0.4182, 0.8207)
B (0.2882, 0.8353, 0.2961)
B (0.2609, 0.8736, 0.6208)
B (0.3818, 0.5187, 0.1753)
C (0.1564, 0.1502, 0.7173)
C (0.5716, 0.7278, 0.9030)
B (0.7624, 0.1782, 0.3969)
C (0.9788, 0.9866, 0.9867)


[7]
Entry from Alexandria: B3C after structural relaxation (GGA-PBE).

Calculated values
VASP energy = -6.93 eV/atom
volume = 7.3 Å³ per atom
symmetry = No. 8

Cell: 4.8501 4.8501 4.3871 Å, 82.56 82.56 118.68°
Fractional positions:
C (0.1296, 0.7893, 0.6408)
C (0.7893, 0.1296, 0.6408)
C (0.4614, 0.4614, 0.8699)
B (0.0921, 0.4779, 0.5213)
B (0.6938, 0.0579, 0.0094)
B (0.3604, 0.6191, 0.1260)
B (0.4723, 0.4723, 0.5036)
B (0.6191, 0.3604, 0.1260)
B (0.7687, 0.7687, 0.2056)
B (0.0579, 0.6938, 0.0094)
B (0.4779, 0.0921, 0.5213)
B (0.8275, 0.8275, 0.5759)


[8]
Entry from Alexandria: B7C after structural relaxation (GGA-PBE).

Calculated values
VASP energy = -6.33 eV/atom
volume = 9.0 Å³ per atom
symmetry = No. 160

Cell: 11.1480 11.1480 11.1480 Å, 14.14 14.14 14.14°
Fractional positions:
B (0.9140, 0.9140, 0.9140)
B (0.4425, 0.4425, 0.4425)
B (0.2406, 0.2406, 0.2406)
B (0.4927, 0.4927, 0.4927)
B (0.0270, 0.0270, 0.0270)
C (0.6975, 0.6975, 0.6975)
B (0.7450, 0.7450, 0.7450)
B (0.1907, 0.1907, 0.1907)


[9]
Entry from Alexandria: B3C after structural relaxation (GGA-PBE).

Calculated values
VASP energy = -6.96 eV/atom
volume = 7.2 Å³ per atom
symmetry = No. 8

Cell: 4.4626 4.4626 9.0694 Å, 59.68 59.68 34.56°
Fractional positions:
B (0.8068, 0.8068, 0.2114)
B (0.7415, 0.7415, 0.6009)
C (0.8300, 0.8300, 0.7149)
B (0.5560, 0.5560, 0.3622)
B (0.3804, 0.3804, 0.9922)
B (0.3588, 0.3588, 0.3261)
B (0.6266, 0.6266, 0.1516)
B (0.2841, 0.2841, 0.8137)
B (0.0274, 0.0274, 0.5227)
C (0.1710, 0.1710, 0.0337)
C (0.2095, 0.2095, 0.5295)
B (0.0079, 0.0079, 0.9912)


[10]
Entry from Alexandria: BC after structural relaxation (GGA-PBE).

Calculated values
VASP energy = -7.53 eV/atom
volume = 6.6 Å³ per atom
symmetry = No. 12

Cell: 5.6898 5.6898 5.4993 Å, 93.31 93.31 26.42°
Fractional positions:
C (0.2575, 0.2575, 0.9183)
B (0.5869, 0.5869, 0.3004)
C (0.6807, 0.6807, 0.8669)
C (0.3145, 0.3145, 0.1847)
B (0.0234, 0.0234, 0.4747)
B (0.2266, 0.2266, 0.4003)
C (0.5693, 0.5693, 0.0081)
B (0.3481, 0.3481, 0.6997)
B (0.6631, 0.6631, 0.5746)
B (0.9019, 0.9019, 0.1753)
C (0.9355, 0.9355, 0.6903)
C (0.9925, 0.9925, 0.9567)


[11]
Entry from Alexandria: BC after structural relaxation (GGA-PBE).

Calculated values
VASP energy = -7.53 eV/atom
volume = 6.7 Å³ per atom
symmetry = No. 156

Cell: 2.5614 2.5614 14.0966 Å, 90.00 90.00 120.00°
Fractional positions:
B (0.3333, 0.6667, 0.5386)
B (0.6667, 0.3333, 0.3045)
C (0.0000, 0.0000, 0.0103)
C (0.3333, 0.6667, 0.0443)
C (0.6667, 0.3333, 0.1919)
B (0.3333, 0.6667, 0.6595)
C (0.6667, 0.3333, 0.8468)
B (0.0000, 0.0000, 0.3788)
B (0.6667, 0.3333, 0.7374)
C (0.0000, 0.0000, 0.4871)
C (0.3333, 0.6667, 0.1565)
B (0.0000, 0.0000, 0.8942)


[12]
Entry from Alexandria: B7C5 after structural relaxation (GGA-PBE).

Calculated values
VASP energy = -7.41 eV/atom
volume = 6.8 Å³ per atom
symmetry = No. 6

Cell: 2.7040 5.0362 6.2261 Å, 105.39 90.00 90.00°
Fractional positions:
B (0.5000, 0.2327, 0.9316)
C (0.5000, 0.7889, 0.3487)
C (0.0000, 0.7340, 0.9592)
B (0.5000, 0.3939, 0.2219)
B (0.0000, 0.0699, 0.0284)
B (0.5000, 0.2655, 0.6661)
B (0.0000, 0.6865, 0.6780)
B (0.0000, 0.8878, 0.2488)
B (0.5000, 0.5766, 0.9799)
C (0.5000, 0.7711, 0.5721)
C (0.0000, 0.2739, 0.3079)
C (0.0000, 0.3191, 0.5574)


Look up the volume of the first one. 8.3 Å³ per atom


What is the VASP energy in the eighth record? -6.33 eV/atom


Among the records above, which one has the highest VASP energy? B7C


Which formula does entry 6 have? B3C2